## Ag2RuF6 (GGA-PBE)

Data for a relaxed Ag2RuF6 crystal.

Results
Energy above the most stable polymorph in this dataset = 0.0000 eV/atom
Space-group type = P4_2/mnm (136)
Formation energy (no corrections) = -1.446 eV per atom

Cell and atoms, written as extended XYZ:
```
18
Lattice="5.257 0.000 0.000 0.000 5.257 0.000 0.000 0.000 10.691" Properties=species:S:1:pos:R:3 pbc="T T T"
Ag 0.000 0.000 1.744
Ag 0.000 0.000 8.947
Ag 2.629 2.629 3.601
Ag 2.629 2.629 7.089
Ru 0.000 0.000 5.345
Ru 2.629 2.629 0.000
F 0.939 0.939 3.874
F 0.939 0.939 6.817
F 1.262 1.262 0.000
F 1.367 3.891 5.345
F 1.689 3.568 1.472
F 1.689 3.568 9.219
F 3.568 1.689 1.472
F 3.568 1.689 9.219
F 3.891 1.367 5.345
F 3.996 3.996 0.000
F 4.318 4.318 3.874
F 4.318 4.318 6.817
```